# 1
Below is an optimized crystal structure of Mg2ReRu, with properties calculated at the PBE-GGA level.

It has space group Cm (No. 8), with a = 8.949 Å, b = 2.847 Å, c = 5.099 Å, α = 90.00°, β = 96.78° and γ = 90.00°. The distinct sites, in fractional coordinates, are Mg at (0.000, 0.000, 0.000), Mg at (0.240, 0.000, 0.756), Re at (0.251, 0.500, 0.282) and Ru at (0.492, 0.000, 0.466).

The relative energy among the computed polymorphs comes out at 0.76 eV per formula unit. The calculation puts the density of states at the Fermi level at 2.53 states/eV/f.u. The calculated density is 8.647 g cm⁻³.

=====

# 2
Below is an optimized crystal structure of SmErU2P4, with properties calculated at the PBE-GGA level.

It has space group P2/m (No. 10), with a = 6.862 Å, b = 3.962 Å, c = 6.978 Å, α = 90.00°, β = 109.15° and γ = 90.00°. The distinct sites, in fractional coordinates, are Sm at (0.000, 0.000, 0.000), Er at (0.500, 0.500, 0.000), U at (0.000, 0.500, 0.500), U at (0.500, 0.000, 0.500), P at (0.252, 0.000, 0.744) and P at (0.257, 0.500, 0.259).

Its total energy is -7.965 eV/atom. The calculation puts the density of states at the Fermi level at 8.94 states/eV/f.u. The calculated density is 8.500 g cm⁻³.

=====

# 3
Below is an optimized crystal structure of Ac3SmAl8, with properties calculated at the PBE-GGA level.

It has space group R3m (No. 160, hexagonal axes), with a = 5.8490 Å, b = 5.8490 Å, c = 28.6329 Å, α = 90.00°, β = 90.00° and γ = 120.00°. The distinct sites, in fractional coordinates, are Ac at (0.0000, 0.0000, 0.0000), Ac at (0.0000, 0.0000, 0.1252), Ac at (0.0000, 0.0000, 0.5001), Sm at (0.0000, 0.0000, 0.6255), Al at (0.0000, 0.0000, 0.3121), Al at (0.0000, 0.0000, 0.8132), Al at (0.0008, 0.5004, 0.5644) and Al at (0.1673, 0.3347, 0.3941).

Its total energy is -4.301 eV/atom. The calculation puts the density of states at the Fermi level at 6.72 states/eV/f.u. The calculated density is 6.150 g cm⁻³.

=====

# 4
Below is an optimized crystal structure of RbBrF2, with properties calculated at the PBE-GGA level.

It has space group I-42d (No. 122), with a = 4.950 Å, b = 4.950 Å, c = 15.485 Å, α = 90.00°, β = 90.00° and γ = 90.00°. The distinct sites, in fractional coordinates, are Rb at (0.000, 0.000, 0.000), Br at (0.000, 0.000, 0.500) and F at (0.138, 0.250, 0.625).

The relative energy among the computed polymorphs comes out at 1.87 eV per formula unit. The calculation puts the density of states at the Fermi level at 0.91 states/eV/f.u. Its formation energy (no corrections) is -1.311 eV per atom. The calculated density is 3.560 g cm⁻³.

=====

# 5
Below is an optimized crystal structure of KCaAgF4, with properties calculated at the PBE-GGA level.

It has space group I4mm (No. 107), with a = 4.429 Å, b = 4.429 Å, c = 13.095 Å, α = 90.00°, β = 90.00° and γ = 90.00°. The distinct sites, in fractional coordinates, are K at (0.000, 0.000, 0.000), Ca at (0.000, 0.000, 0.647), Ag at (0.000, 0.000, 0.296), F at (0.000, 0.000, 0.469), F at (0.000, 0.000, 0.813) and F at (0.000, 0.500, 0.142).

The calculation puts the density of states at the Fermi level at 0.00 states/eV/f.u. Its formation energy (no corrections) is -2.664 eV per atom. The calculated density is 3.400 g cm⁻³.

=====

# 6
Below is an optimized crystal structure of DyNpBr6, with properties calculated at the PBE-GGA level.

It has space group C2/m (No. 12), with a = 7.122 Å, b = 13.171 Å, c = 7.053 Å, α = 90.00°, β = 106.94° and γ = 90.00°. The distinct sites, in fractional coordinates, are Dy at (0.000, 0.000, 0.000), Np at (0.000, 0.500, 0.500), Br at (0.241, 0.147, 0.245) and Br at (0.248, 0.000, 0.755).

The calculation puts the density of states at the Fermi level at 4.20 states/eV/f.u. Its formation energy (no corrections) is -1.566 eV per atom. The calculated density is 4.612 g cm⁻³.

=====

# 7
Below is an optimized crystal structure of Be3In, with properties calculated at the PBE-GGA level.

It has space group R-3m (No. 166, hexagonal axes), with a = 2.8528 Å, b = 2.8528 Å, c = 23.1779 Å, α = 90.00°, β = 90.00° and γ = 120.00°. The distinct sites, in fractional coordinates, are Be at (0.0000, 0.0000, 0.0000), Be at (0.0000, 0.0000, 0.2634) and In at (0.0000, 0.0000, 0.5000).

The relative energy among the computed polymorphs comes out at 1.75 eV per formula unit. The calculation puts the density of states at the Fermi level at 0.49 states/eV/f.u. The calculated density is 4.326 g cm⁻³.

=====

# 8
Below is an optimized crystal structure of Ba2ZnPd2, with properties calculated at the PBE-GGA level.

It has space group C2/c (No. 15), with a = 10.535 Å, b = 6.277 Å, c = 8.493 Å, α = 90.00°, β = 103.13° and γ = 90.00°. The distinct sites, in fractional coordinates, are Ba at (0.151, 0.132, 0.150), Zn at (0.000, 0.389, 0.750) and Pd at (0.124, 0.373, 0.505).

Its total energy is -3.599 eV/atom. The calculation puts the density of states at the Fermi level at 3.24 states/eV/f.u. The calculated density is 6.714 g cm⁻³.